No. 1
Compound: Er2Tm3Lu2Te2Pd2
Source: the Open Quantum Materials Database
Functional: GGA-PBE
Structure: optimized geometry

a b c (Å): 3.911 15.461 9.551
angles (deg): 90.00 90.00 90.00
Space group Imm2 (No. 44)
Inequivalent atoms, fractional coordinates:
Er  0.000  0.144  0.000 [4 per cell]
Tm  0.000  0.369  0.850 [4 per cell]
Tm  0.000  0.500  0.266 [2 per cell]
Lu  0.000  0.183  0.640 [4 per cell]
Te  0.000  0.000  0.501 [2 per cell]
Te  0.000  0.500  0.605 [2 per cell]
Pd  0.000  0.264  0.334 [4 per cell]

Results
**V**: 26.3 Å³ per atom
**Magnetic moment**: 0.0 μB/f.u.
**VASP energy**: -5.24 eV per atom

No. 2
Compound: PmErLu
Source: the Open Quantum Materials Database
Functional: GGA-PBE
Structure: optimized geometry

a b c (Å): 7.623 7.623 7.623
angles (deg): 90.00 90.00 90.00
Space group F-43m (No. 216)
Inequivalent atoms, fractional coordinates:
Pm  0.000  0.000  0.000 [4 per cell]
Er  0.000  0.000  0.500 [4 per cell]
Lu  0.250  0.250  0.750 [4 per cell]

Results
**E_form**: 0.709 eV/atom
**V**: 36.9 Å³ per atom
**Magnetic moment**: 0.1 μB/f.u.
**VASP energy**: -3.90 eV per atom
**Polymorph energy (0 for the lowest one)**: 0.0 meV/atom

No. 3
Compound: PrErLu
Source: the Open Quantum Materials Database
Functional: GGA-PBE
Structure: optimized geometry

a b c (Å): 7.665 7.665 7.665
angles (deg): 90.00 90.00 90.00
Space group F-43m (No. 216)
Inequivalent atoms, fractional coordinates:
Pr  0.000  0.000  0.000 [4 per cell]
Er  0.000  0.000  0.500 [4 per cell]
Lu  0.250  0.250  0.750 [4 per cell]

Results
**E_form**: 0.704 eV/atom
**V**: 37.5 Å³ per atom
**Magnetic moment**: 0.0 μB/f.u.
**VASP energy**: -3.92 eV per atom
**Polymorph energy (0 for the lowest one)**: 0.0 meV/atom

No. 4
Compound: ErLuSn2Pt4
Source: the Open Quantum Materials Database
Functional: GGA-PBE
Structure: optimized geometry

a b c (Å): 4.5358 4.5358 9.0062
angles (deg): 90.00 90.00 120.00
Space group P-6m2 (No. 187)
Inequivalent atoms, fractional coordinates:
Er  0.0000  0.0000  0.0000 [1 per cell]
Lu  0.3333  0.6667  0.5000 [1 per cell]
Sn  0.6667  0.3333  0.2508 [2 per cell]
Pt  0.0000  0.0000  0.3423 [2 per cell]
Pt  0.3333  0.6667  0.1605 [2 per cell]

Results
**V**: 20.1 Å³ per atom
**Magnetic moment**: 0.0 μB/f.u.
**VASP energy**: -6.18 eV per atom

No. 5
Compound: Er3Lu3Te2Pt
Source: the Open Quantum Materials Database
Functional: GGA-PBE
Structure: optimized geometry

a b c (Å): 8.2638 8.2638 3.9272
angles (deg): 90.00 90.00 120.00
Space group P-62m (No. 189)
Inequivalent atoms, fractional coordinates:
Er  0.0000  0.6021  0.0000 [3 per cell]
Lu  0.0000  0.2431  0.5000 [3 per cell]
Te  0.3333  0.6667  0.5000 [2 per cell]
Pt  0.0000  0.0000  0.0000 [1 per cell]

Results
**V**: 25.8 Å³ per atom
**Magnetic moment**: 0.3 μB/f.u.
**VASP energy**: -5.30 eV per atom
**Polymorph energy (0 for the lowest one)**: 0.0 meV/atom

No. 6
Compound: ErLu6Te2Pt2
Source: the Open Quantum Materials Database
Functional: GGA-PBE
Structure: optimized geometry

a b c (Å): 3.912 15.347 9.433
angles (deg): 90.00 90.00 90.00
Space group Imm2 (No. 44)
Inequivalent atoms, fractional coordinates:
Er  0.000  0.000  0.000 [2 per cell]
Lu  0.000  0.132  0.582 [4 per cell]
Lu  0.000  0.316  0.373 [4 per cell]
Lu  0.000  0.355  0.732 [4 per cell]
Te  0.000  0.000  0.339 [2 per cell]
Te  0.000  0.500  0.234 [2 per cell]
Pt  0.000  0.237  0.070 [4 per cell]

Results
**V**: 25.7 Å³ per atom
**Magnetic moment**: 0.1 μB/f.u.
**VASP energy**: -5.59 eV per atom

No. 7
Compound: Er3Lu3Te2Pt
Source: the Open Quantum Materials Database
Functional: GGA-PBE
Structure: optimized geometry

a b c (Å): 8.3153 8.3153 3.8849
angles (deg): 90.00 90.00 120.00
Space group P-62m (No. 189)
Inequivalent atoms, fractional coordinates:
Er  0.0000  0.2476  0.0000 [3 per cell]
Lu  0.0000  0.6029  0.5000 [3 per cell]
Te  0.3333  0.6667  0.0000 [2 per cell]
Pt  0.0000  0.0000  0.5000 [1 per cell]

Results
**V**: 25.8 Å³ per atom
**Magnetic moment**: 0.4 μB/f.u.
**VASP energy**: -5.25 eV per atom
**Polymorph energy (0 for the lowest one)**: 44.7 meV/atom

No. 8
Compound: ErLuPu
Source: the Open Quantum Materials Database
Functional: GGA-PBE
Structure: optimized geometry

a b c (Å): 7.403 7.403 7.403
angles (deg): 90.00 90.00 90.00
Space group F-43m (No. 216)
Inequivalent atoms, fractional coordinates:
Er  0.000  0.000  0.000 [4 per cell]
Lu  0.000  0.000  0.500 [4 per cell]
Pu  0.250  0.250  0.750 [4 per cell]

Results
**E_form**: 0.820 eV/atom
**V**: 33.8 Å³ per atom
**Magnetic moment**: 7.0 μB/f.u.
**VASP energy**: -6.92 eV per atom
**Polymorph energy (0 for the lowest one)**: 0.0 meV/atom

V of number 1 (Er2Tm3Lu2Te2Pd2)? 26.3 Å³ per atom